DFT (PBE-GGA) results for Nd4PS2O after structural relaxation.

Summary:
Size of the total moment   0.00 μB/f.u.
Volume   179.6 Å³ per cell
Space group   P2/m (10)
Energy relative to the elements, uncorrected   -2.03 eV per atom

Cell: 3.969 6.842 6.999 Å, 109.11 90.00 90.00°
Fractional positions:
S 0.500 0.000 0.500
S 0.000 0.500 0.500
P 0.000 0.000 0.000
O 0.500 0.500 0.000
Nd 0.500 0.739 0.769
Nd 0.000 0.271 0.776
Nd 0.500 0.261 0.231
Nd 0.000 0.729 0.224